A plane-wave DFT calculation with GGA-PBE was carried out for a relaxed La2H8Pd crystal.

a b c (Å): 4.175 4.637 6.726
angles (deg): 110.19 108.08 90.00
Element x y z (fractional)
La: 0.845 0.346 0.690
La: 0.155 0.654 0.310
H: 0.764 0.764 0.528
H: 0.610 0.881 0.221
H: 0.390 0.119 0.779
H: 0.390 0.660 0.779
H: 0.000 0.750 0.000
H: 0.610 0.340 0.221
H: 0.000 0.250 0.000
H: 0.236 0.236 0.472
Pd: 0.500 0.000 0.000

Properties
The total magnetization comes out at 0.00 Bohr magnetons per cell. Its total energy is -4.151 eV per atom. As for the crystal system: orthorhombic.